Entry 1:
{"formula": "NaTcPO", "functional": "PBE-GGA", "state": "relaxed", "lattice_angstrom": [[4.3826, 0.0000, 0.0000], [0.0000, 4.3826, 0.0000], [0.0000, 0.0000, 5.5101]], "species": ["Na", "Na", "Tc", "Tc", "P", "P", "O", "O"], "fractional_positions": [[0.2500, 0.2500, 0.1115], [0.7500, 0.7500, 0.8885], [0.2500, 0.7500, 0.5000], [0.7500, 0.2500, 0.5000], [0.2500, 0.2500, 0.6483], [0.7500, 0.7500, 0.3517], [0.2500, 0.7500, 0.0000], [0.7500, 0.2500, 0.0000]], "final_energy_ev_per_atom": -5.816, "m_tot_mub_per_atom": 0.023, "de_polymorph_mev_per_atom": 474, "volume_a3_per_cell": 105.8}


Entry 2:
{"formula": "PrLuPO", "functional": "PBE-GGA", "state": "relaxed", "lattice_angstrom": [[4.3508, 0.0000, 0.0000], [0.0000, 4.3508, 0.0000], [0.0000, 0.0000, 8.8495]], "species": ["Pr", "Pr", "Lu", "Lu", "P", "P", "O", "O"], "fractional_positions": [[0.2500, 0.2500, 0.1178], [0.7500, 0.7500, 0.8822], [0.2500, 0.7500, 0.5000], [0.7500, 0.2500, 0.5000], [0.2500, 0.2500, 0.6796], [0.7500, 0.7500, 0.3204], [0.2500, 0.7500, 0.0000], [0.7500, 0.2500, 0.0000]], "final_energy_ev_per_atom": -6.864, "m_tot_mub_per_atom": 0.014, "de_polymorph_mev_per_atom": 0, "volume_a3_per_cell": 167.5}


Entry 3:
{"formula": "BaMg5Hg2", "functional": "PBE-GGA", "state": "relaxed", "lattice_angstrom": [[-2.2743, 4.2101, 5.5587], [2.2743, -4.2101, 5.5587], [2.2743, 4.2101, -5.5587]], "species": ["Ba", "Mg", "Mg", "Mg", "Mg", "Mg", "Hg", "Hg"], "fractional_positions": [[0.0000, 0.0000, 0.0000], [0.1631, 0.3484, 0.8147], [0.4664, 0.6516, 0.8147], [0.5000, 0.0000, 0.5000], [0.5336, 0.3484, 0.1853], [0.8369, 0.6516, 0.1853], [0.2461, 0.7461, 0.5000], [0.7539, 0.2539, 0.5000]], "final_energy_ev_per_atom": -1.528, "volume_a3_per_cell": 212.9}


Please write out number 1 again, unchanged.
{"formula": "NaTcPO", "functional": "PBE-GGA", "state": "relaxed", "lattice_angstrom": [[4.3826, 0.0000, 0.0000], [0.0000, 4.3826, 0.0000], [0.0000, 0.0000, 5.5101]], "species": ["Na", "Na", "Tc", "Tc", "P", "P", "O", "O"], "fractional_positions": [[0.2500, 0.2500, 0.1115], [0.7500, 0.7500, 0.8885], [0.2500, 0.7500, 0.5000], [0.7500, 0.2500, 0.5000], [0.2500, 0.2500, 0.6483], [0.7500, 0.7500, 0.3517], [0.2500, 0.7500, 0.0000], [0.7500, 0.2500, 0.0000]], "final_energy_ev_per_atom": -5.816, "m_tot_mub_per_atom": 0.023, "de_polymorph_mev_per_atom": 474, "volume_a3_per_cell": 105.8}